The following is a GGA-PBE calculation of a geometry-optimized CoTcRh2 structure, from Alexandria.

Calculated values
**Calculated formation energy**: 0.2156 eV/atom
**Total DFT energy (no corrections)**: -7.828 eV per atom

```
4
Lattice="3.127 0.000 0.000 0.000 3.127 0.000 0.000 0.000 5.632" Properties=species:S:1:pos:R:3 pbc="T T T"
Co 0.000 0.000 0.000
Tc 1.564 1.564 4.436
Rh 0.000 0.000 2.954
Rh 1.564 1.564 1.328
```

The following is a GGA-PBE calculation of a geometry-optimized ScCrAs2Br structure, from Alexandria.

Calculated values
**Uncorrected formation energy**: 0.210 eV/atom
**Total DFT energy (no corrections)**: -5.175 eV per atom

```
5
Lattice="5.144 0.000 0.000 0.000 5.144 0.000 0.000 0.000 5.215" Properties=species:S:1:pos:R:3 pbc="T T T"
Sc 0.000 0.000 0.000
Cr 2.572 2.572 2.608
As 0.000 2.572 0.000
As 2.572 0.000 0.000
Br 0.000 0.000 2.608
```

Total moment (computed, μB/atom): 0.5423, 0.7906